# 1
{
  "formula": "PrBiRh",
  "functional": "PBE-GGA",
  "state": "relaxed",
  "cell": [[4.764, 0.000, 0.000], [0.000, 15.280, 0.000], [0.000, 0.000, 8.134]],
  "species": ["Pr", "Pr", "Pr", "Pr", "Pr", "Pr", "Pr", "Pr", "Bi", "Bi", "Bi", "Bi", "Bi", "Bi", "Bi", "Bi", "Rh", "Rh", "Rh", "Rh", "Rh", "Rh", "Rh", "Rh"],
  "fractional_positions": [[0.250, 0.006, 0.213], [0.250, 0.250, 0.294], [0.250, 0.494, 0.213], [0.250, 0.750, 0.286], [0.750, 0.250, 0.714], [0.750, 0.506, 0.787], [0.750, 0.750, 0.706], [0.750, 0.994, 0.787], [0.250, 0.103, 0.594], [0.250, 0.397, 0.594], [0.250, 0.644, 0.911], [0.250, 0.856, 0.911], [0.750, 0.144, 0.089], [0.750, 0.356, 0.089], [0.750, 0.603, 0.406], [0.750, 0.897, 0.406], [0.250, 0.147, 0.927], [0.250, 0.353, 0.927], [0.250, 0.591, 0.584], [0.250, 0.909, 0.584], [0.750, 0.091, 0.416], [0.750, 0.409, 0.416], [0.750, 0.647, 0.073], [0.750, 0.853, 0.073]],
  "sg": "Pmmn (59)"
}



# 2
{
  "formula": "Pr2BiRh",
  "functional": "PBE-GGA",
  "state": "relaxed",
  "cell": [[3.667, 0.000, 0.000], [0.000, 3.667, 0.000], [0.000, 0.000, 8.108]],
  "species": ["Pr", "Pr", "Bi", "Rh"],
  "fractional_positions": [[0.000, 0.000, 0.212], [0.000, 0.000, 0.788], [0.500, 0.500, 0.500], [0.500, 0.500, 0.000]],
  "sg": "P4/mmm (123)"
}



# 3
{
  "formula": "PrBiRh",
  "functional": "PBE-GGA",
  "state": "relaxed",
  "cell": [[7.542, 0.000, 0.000], [0.000, 4.786, 0.000], [0.000, 0.000, 8.127]],
  "species": ["Pr", "Pr", "Pr", "Pr", "Bi", "Bi", "Bi", "Bi", "Rh", "Rh", "Rh", "Rh"],
  "fractional_positions": [[0.015, 0.250, 0.196], [0.485, 0.750, 0.696], [0.515, 0.250, 0.304], [0.985, 0.750, 0.804], [0.183, 0.250, 0.589], [0.317, 0.750, 0.089], [0.683, 0.250, 0.911], [0.817, 0.750, 0.411], [0.205, 0.750, 0.418], [0.295, 0.250, 0.918], [0.705, 0.750, 0.082], [0.795, 0.250, 0.582]],
  "sg": "Pnma (62)"
}



# 4
{
  "formula": "PrBi3Rh",
  "functional": "PBE-GGA",
  "state": "relaxed",
  "cell": [[7.312, -6.698, 0.000], [7.312, 6.698, 0.000], [-2.961, 0.000, 5.938]],
  "species": ["Pr", "Pr", "Pr", "Pr", "Bi", "Bi", "Bi", "Bi", "Bi", "Bi", "Bi", "Bi", "Bi", "Bi", "Bi", "Bi", "Rh", "Rh", "Rh", "Rh"],
  "fractional_positions": [[0.088, 0.656, 0.924], [0.344, 0.912, 0.576], [0.656, 0.088, 0.424], [0.912, 0.344, 0.076], [0.083, 0.156, 0.688], [0.156, 0.083, 0.188], [0.164, 0.601, 0.432], [0.341, 0.416, 0.799], [0.399, 0.836, 0.068], [0.416, 0.341, 0.299], [0.584, 0.659, 0.701], [0.601, 0.164, 0.932], [0.659, 0.584, 0.201], [0.836, 0.399, 0.568], [0.844, 0.917, 0.812], [0.917, 0.844, 0.312], [0.128, 0.872, 0.750], [0.385, 0.615, 0.250], [0.615, 0.385, 0.750], [0.872, 0.128, 0.250]],
  "sg": "C2/c (15)"
}



# 5
{
  "formula": "Pr3Bi3Rh2",
  "functional": "PBE-GGA",
  "state": "relaxed",
  "cell": [[2.395, -5.718, 0.000], [2.395, 5.718, 0.000], [0.000, 0.000, 15.629]],
  "species": ["Pr", "Pr", "Pr", "Pr", "Pr", "Pr", "Bi", "Bi", "Bi", "Bi", "Bi", "Bi", "Rh", "Rh", "Rh", "Rh"],
  "fractional_positions": [[0.079, 0.921, 0.609], [0.079, 0.921, 0.891], [0.361, 0.639, 0.750], [0.639, 0.361, 0.250], [0.921, 0.079, 0.109], [0.921, 0.079, 0.391], [0.342, 0.658, 0.250], [0.365, 0.635, 0.533], [0.365, 0.635, 0.967], [0.635, 0.365, 0.033], [0.635, 0.365, 0.467], [0.658, 0.342, 0.750], [0.185, 0.815, 0.109], [0.185, 0.815, 0.391], [0.815, 0.185, 0.609], [0.815, 0.185, 0.891]],
  "sg": "Cmcm (63)"
}



# 6
{
  "formula": "Pr8Bi2Rh",
  "functional": "PBE-GGA",
  "state": "relaxed",
  "cell": [[9.811, -2.412, 0.000], [9.811, 2.412, 0.000], [-1.188, 0.000, 7.693]],
  "species": ["Pr", "Pr", "Pr", "Pr", "Pr", "Pr", "Pr", "Pr", "Bi", "Bi", "Rh"],
  "fractional_positions": [[0.005, 0.005, 0.279], [0.214, 0.214, 0.850], [0.357, 0.357, 0.468], [0.406, 0.406, 0.991], [0.594, 0.594, 0.009], [0.643, 0.643, 0.532], [0.786, 0.786, 0.150], [0.995, 0.995, 0.721], [0.183, 0.183, 0.271], [0.817, 0.817, 0.729], [0.500, 0.500, 0.500]],
  "sg": "C2/m (12)"
}



# 7
{
  "formula": "Pr2BiRh",
  "functional": "PBE-GGA",
  "state": "relaxed",
  "cell": [[2.187, 1.263, 7.308], [-2.187, 1.263, 7.308], [0.000, -2.525, 7.308]],
  "species": ["Pr", "Pr", "Bi", "Rh"],
  "fractional_positions": [[0.238, 0.238, 0.238], [0.762, 0.762, 0.762], [0.000, 0.000, 0.000], [0.500, 0.500, 0.500]],
  "sg": "R-3m (166)"
}



# 8
{
  "formula": "PrBi3Rh",
  "functional": "PBE-GGA",
  "state": "relaxed",
  "cell": [[13.174, 0.000, 0.000], [0.000, 6.566, 0.000], [0.000, 0.000, 6.336]],
  "species": ["Pr", "Pr", "Pr", "Pr", "Bi", "Bi", "Bi", "Bi", "Bi", "Bi", "Bi", "Bi", "Bi", "Bi", "Bi", "Bi", "Rh", "Rh", "Rh", "Rh"],
  "fractional_positions": [[0.197, 0.004, 0.250], [0.197, 0.496, 0.750], [0.803, 0.504, 0.250], [0.803, 0.996, 0.750], [0.001, 0.250, 0.000], [0.001, 0.250, 0.500], [0.270, 0.502, 0.250], [0.270, 0.998, 0.750], [0.443, 0.602, 0.750], [0.443, 0.898, 0.250], [0.557, 0.102, 0.750], [0.557, 0.398, 0.250], [0.730, 0.002, 0.250], [0.730, 0.498, 0.750], [0.999, 0.750, 0.000], [0.999, 0.750, 0.500], [0.398, 0.250, 0.000], [0.398, 0.250, 0.500], [0.602, 0.750, 0.000], [0.602, 0.750, 0.500]],
  "sg": "Pbcm (57)"
}



# 9
{
  "formula": "Pr2BiRh",
  "functional": "PBE-GGA",
  "state": "relaxed",
  "cell": [[6.464, 0.000, 0.000], [0.000, 4.361, 0.000], [-3.168, 0.000, 8.168]],
  "species": ["Pr", "Pr", "Pr", "Pr", "Bi", "Bi", "Rh", "Rh"],
  "fractional_positions": [[0.166, 0.250, 0.394], [0.254, 0.750, 0.046], [0.746, 0.250, 0.954], [0.834, 0.750, 0.606], [0.381, 0.750, 0.704], [0.619, 0.250, 0.296], [0.117, 0.250, 0.797], [0.883, 0.750, 0.203]],
  "sg": "P2_1/m (11)"
}



# 10
{
  "formula": "Pr5Bi4Rh",
  "functional": "PBE-GGA",
  "state": "relaxed",
  "cell": [[-5.085, 5.085, 3.264], [5.085, -5.085, 3.264], [5.085, 5.085, -3.264]],
  "species": ["Pr", "Pr", "Pr", "Pr", "Pr", "Bi", "Bi", "Bi", "Bi", "Rh"],
  "fractional_positions": [[0.000, 0.000, 0.000], [0.120, 0.306, 0.622], [0.306, 0.684, 0.186], [0.499, 0.120, 0.814], [0.684, 0.499, 0.378], [0.203, 0.994, 0.393], [0.602, 0.810, 0.607], [0.810, 0.203, 0.209], [0.994, 0.602, 0.791], [0.431, 0.431, 0.000]],
  "sg": "I4 (79)"
}



# 11
{
  "formula": "Pr5BiRh2",
  "functional": "PBE-GGA",
  "state": "relaxed",
  "cell": [[-4.070, 4.070, 6.994], [4.070, -4.070, 6.994], [4.070, 4.070, -6.994]],
  "species": ["Pr", "Pr", "Pr", "Pr", "Pr", "Pr", "Pr", "Pr", "Pr", "Pr", "Bi", "Bi", "Rh", "Rh", "Rh", "Rh"],
  "fractional_positions": [[0.000, 0.000, 0.000], [0.022, 0.522, 0.814], [0.208, 0.022, 0.500], [0.292, 0.792, 0.814], [0.478, 0.292, 0.500], [0.500, 0.500, 0.000], [0.522, 0.708, 0.500], [0.708, 0.208, 0.186], [0.792, 0.978, 0.500], [0.978, 0.478, 0.186], [0.250, 0.250, 0.000], [0.750, 0.750, 0.000], [0.141, 0.359, 0.500], [0.359, 0.859, 0.219], [0.641, 0.141, 0.781], [0.859, 0.641, 0.500]],
  "sg": "I4/mcm (140)"
}



# 12
{
  "formula": "Pr4BiRh2",
  "functional": "PBE-GGA",
  "state": "relaxed",
  "cell": [[-4.800, 4.809, 4.922], [4.800, -4.809, 4.922], [4.800, 4.809, -4.922]],
  "species": ["Pr", "Pr", "Pr", "Pr", "Pr", "Pr", "Pr", "Pr", "Bi", "Bi", "Rh", "Rh", "Rh", "Rh"],
  "fractional_positions": [[0.223, 0.288, 0.566], [0.223, 0.657, 0.934], [0.288, 0.222, 0.066], [0.344, 0.778, 0.566], [0.656, 0.222, 0.434], [0.712, 0.778, 0.934], [0.777, 0.343, 0.066], [0.777, 0.712, 0.434], [0.124, 0.874, 0.250], [0.876, 0.126, 0.750], [0.000, 0.500, 0.500], [0.500, 0.000, 0.000], [0.500, 0.500, 0.000], [0.500, 0.500, 0.500]],
  "sg": "Imma (74)"
}



# 13
{
  "formula": "PrBi3Rh3",
  "functional": "PBE-GGA",
  "state": "relaxed",
  "cell": [[7.367, 0.000, 0.000], [0.000, 7.367, 0.000], [0.000, 0.000, 7.367]],
  "species": ["Pr", "Pr", "Bi", "Bi", "Bi", "Bi", "Bi", "Bi", "Rh", "Rh", "Rh", "Rh", "Rh", "Rh"],
  "fractional_positions": [[0.000, 0.000, 0.000], [0.500, 0.500, 0.500], [0.000, 0.250, 0.500], [0.000, 0.750, 0.500], [0.250, 0.500, 0.000], [0.500, 0.000, 0.250], [0.500, 0.000, 0.750], [0.750, 0.500, 0.000], [0.000, 0.500, 0.250], [0.000, 0.500, 0.750], [0.250, 0.000, 0.500], [0.500, 0.250, 0.000], [0.500, 0.750, 0.000], [0.750, 0.000, 0.500]],
  "sg": "Pm-3n (223)"
}



# 14
{
  "formula": "Pr4BiRh",
  "functional": "PBE-GGA",
  "state": "relaxed",
  "cell": [[8.228, -3.097, 0.000], [8.228, 3.097, 0.000], [-2.228, 0.000, 7.570]],
  "species": ["Pr", "Pr", "Pr", "Pr", "Pr", "Pr", "Pr", "Pr", "Bi", "Bi", "Rh", "Rh"],
  "fractional_positions": [[0.047, 0.792, 0.555], [0.203, 0.437, 0.860], [0.208, 0.953, 0.945], [0.437, 0.203, 0.360], [0.563, 0.797, 0.640], [0.792, 0.047, 0.055], [0.797, 0.563, 0.140], [0.953, 0.208, 0.445], [0.375, 0.625, 0.250], [0.625, 0.375, 0.750], [0.000, 0.500, 0.500], [0.500, 0.000, 0.000]],
  "sg": "C2/c (15)"
}



# 15
{
  "formula": "Pr3Bi4Rh3",
  "functional": "PBE-GGA",
  "state": "relaxed",
  "cell": [[-5.059, 5.059, 5.059], [5.059, -5.059, 5.059], [5.059, 5.059, -5.059]],
  "species": ["Pr", "Pr", "Pr", "Pr", "Pr", "Pr", "Bi", "Bi", "Bi", "Bi", "Bi", "Bi", "Bi", "Bi", "Rh", "Rh", "Rh", "Rh", "Rh", "Rh"],
  "fractional_positions": [[0.125, 0.875, 0.250], [0.250, 0.125, 0.875], [0.375, 0.625, 0.750], [0.625, 0.750, 0.375], [0.750, 0.375, 0.625], [0.875, 0.250, 0.125], [0.000, 0.158, 0.500], [0.000, 0.658, 0.500], [0.158, 0.500, 0.000], [0.342, 0.342, 0.342], [0.500, 0.000, 0.158], [0.500, 0.000, 0.658], [0.658, 0.500, 0.000], [0.842, 0.842, 0.842], [0.125, 0.750, 0.875], [0.250, 0.625, 0.375], [0.375, 0.250, 0.625], [0.625, 0.375, 0.250], [0.750, 0.875, 0.125], [0.875, 0.125, 0.750]],
  "sg": "I-43d (220)"
}



# 16
{
  "formula": "Pr12Bi6Rh",
  "functional": "PBE-GGA",
  "state": "relaxed",
  "cell": [[6.883, 3.974, 4.273], [-6.883, 3.974, 4.273], [0.000, -7.948, 4.273]],
  "species": ["Pr", "Pr", "Pr", "Pr", "Pr", "Pr", "Pr", "Pr", "Pr", "Pr", "Pr", "Pr", "Bi", "Bi", "Bi", "Bi", "Bi", "Bi", "Rh"],
  "fractional_positions": [[0.008, 0.944, 0.685], [0.056, 0.315, 0.992], [0.195, 0.551, 0.419], [0.315, 0.992, 0.056], [0.419, 0.195, 0.551], [0.449, 0.581, 0.805], [0.551, 0.419, 0.195], [0.581, 0.805, 0.449], [0.685, 0.008, 0.944], [0.805, 0.449, 0.581], [0.944, 0.685, 0.008], [0.992, 0.056, 0.315], [0.122, 0.314, 0.647], [0.314, 0.647, 0.122], [0.353, 0.878, 0.686], [0.647, 0.122, 0.314], [0.686, 0.353, 0.878], [0.878, 0.686, 0.353], [0.000, 0.000, 0.000]],
  "sg": "R-3 (148)"
}



# 17
{
  "formula": "PrBiRh",
  "functional": "PBE-GGA",
  "state": "relaxed",
  "cell": [[-1.992, 1.992, 4.987], [1.992, -1.992, 4.987], [1.992, 1.992, -4.987]],
  "species": ["Pr", "Bi", "Rh"],
  "fractional_positions": [[0.000, 0.000, 0.000], [0.685, 0.685, 0.000], [0.397, 0.397, 0.000]],
  "sg": "I4mm (107)"
}



# 18
{
  "formula": "PrBi2Rh",
  "functional": "PBE-GGA",
  "state": "relaxed",
  "cell": [[1.789, 1.033, 10.348], [-1.789, 1.033, 10.348], [0.000, -2.066, 10.348]],
  "species": ["Pr", "Bi", "Bi", "Rh"],
  "fractional_positions": [[0.000, 0.000, 0.000], [0.106, 0.106, 0.106], [0.894, 0.894, 0.894], [0.500, 0.500, 0.500]],
  "sg": "R-3m (166)"
}



# 19
{
  "formula": "Pr2BiRh2",
  "functional": "PBE-GGA",
  "state": "relaxed",
  "cell": [[-2.318, 3.024, 4.293], [2.318, -3.024, 4.293], [2.318, 3.024, -4.293]],
  "species": ["Pr", "Pr", "Bi", "Rh", "Rh"],
  "fractional_positions": [[0.206, 0.206, 0.000], [0.794, 0.794, 0.000], [0.500, 0.000, 0.500], [0.219, 0.500, 0.719], [0.781, 0.500, 0.281]],
  "sg": "Immm (71)"
}



Number 1: ΔE_f -691 meV/atom, DOS(E_F) 11.6 states/eV per cell, uncorrected energy -6.0288 eV per atom. Number 2: ΔE_f -645 meV/atom, DOS(E_F) 1.8 states/eV per cell, uncorrected energy -5.8426 eV per atom. Number 3: ΔE_f -723 meV/atom, DOS(E_F) 10.2 states/eV per cell, uncorrected energy -6.0602 eV per atom. Number 4: ΔE_f -418 meV/atom, DOS(E_F) 12.4 states/eV per cell, uncorrected energy -5.1730 eV per atom. Number 5: ΔE_f -725 meV/atom, DOS(E_F) 6.2 states/eV per cell, uncorrected energy -5.8108 eV per atom. Number 6: ΔE_f -428 meV/atom, DOS(E_F) 12.1 states/eV per cell, uncorrected energy -5.2777 eV per atom. Number 7: ΔE_f -612 meV/atom, DOS(E_F) 1.6 states/eV per cell, uncorrected energy -5.8096 eV per atom. Number 8: ΔE_f -496 meV/atom, DOS(E_F) 11.4 states/eV per cell, uncorrected energy -5.2509 eV per atom. Number 9: ΔE_f -739 meV/atom, DOS(E_F) 3.5 states/eV per cell, uncorrected energy -5.9367 eV per atom. Number 10: ΔE_f -776 meV/atom, DOS(E_F) 0.7 states/eV per cell, uncorrected energy -5.4531 eV per atom. Number 11: ΔE_f -614 meV/atom, DOS(E_F) 15.8 states/eV per cell, uncorrected energy -5.9241 eV per atom. Number 12: ΔE_f -516 meV/atom, DOS(E_F) 12.7 states/eV per cell, uncorrected energy -5.9019 eV per atom. Number 13: ΔE_f 120 meV/atom, DOS(E_F) 14.9 states/eV per cell, uncorrected energy -5.3765 eV per atom. Number 14: ΔE_f -464 meV/atom, DOS(E_F) 10.6 states/eV per cell, uncorrected energy -5.5228 eV per atom. Number 15: ΔE_f -655 meV/atom, DOS(E_F) 21.0 states/eV per cell, uncorrected energy -5.8465 eV per atom. Number 16: ΔE_f -539 meV/atom, DOS(E_F) 17.0 states/eV per cell, uncorrected energy -5.1700 eV per atom. Number 17: ΔE_f -342 meV/atom, DOS(E_F) 1.1 states/eV per cell, uncorrected energy -5.6794 eV per atom. Number 18: ΔE_f -53 meV/atom, DOS(E_F) 3.1 states/eV per cell, uncorrected energy -5.0259 eV per atom. Number 19: ΔE_f -690 meV/atom, DOS(E_F) 2.9 states/eV per cell, uncorrected energy -6.3188 eV per atom.